The following is a GGA-PBE calculation of an optimized crystal structure of Cd2Cl, from Alexandria.

Calculated values
**Calculated density**: 5.31 g/cm³
**Formation energy (no corrections)**: -0.204 eV/atom
**M_tot**: 0.0 μB/f.u.
**Symmetry**: P6_3/mmc

Cell: 5.801 5.801 5.581 Å, 90.00 90.00 120.00°
Fractional coordinates of all 6 atoms:
Cd  0.667  0.333  0.750
Cd  0.000  0.000  0.000
Cd  0.333  0.667  0.250
Cd  0.000  0.000  0.500
Cl  0.667  0.333  0.250
Cl  0.333  0.667  0.750

The following is a GGA-PBE calculation of an optimized crystal structure of CdRh2, from Alexandria.

Calculated values
**Calculated density**: 10.08 g/cm³
**M_tot**: 0.0 μB/f.u.
**Energy of formation**: 0.178 eV per atom
**Symmetry**: Imma

Cell: 2.794 4.507 16.646 Å, 90.00 90.00 90.00°
Fractional coordinates of all 12 atoms:
Rh  0.000  0.750  0.967
Rh  0.000  0.750  0.814
Rh  0.500  0.250  0.467
Rh  0.500  0.750  0.686
Rh  0.000  0.250  0.186
Rh  0.500  0.750  0.533
Rh  0.000  0.250  0.033
Rh  0.500  0.250  0.314
Cd  0.500  0.250  0.874
Cd  0.000  0.250  0.626
Cd  0.500  0.750  0.126
Cd  0.000  0.750  0.374

The following is a GGA-PBE calculation of an optimized crystal structure of MnSiSe2N, from Alexandria.

Calculated values
**Calculated density**: 4.88 g/cm³
**Formation energy (no corrections)**: 0.228 eV/atom
**M_tot**: 4.7 μB/f.u.
**Symmetry**: P4/mmm

Cell: 5.143 5.143 3.283 Å, 90.00 90.00 90.00°
Site moments in Bohr magnetons follow the coordinates.
Fractional coordinates of all 5 atoms:
Se  0.000  0.500  0.000  0.01
Se  0.500  0.000  0.000  0.01
Mn  0.500  0.500  0.500  4.34
N  0.000  0.000  0.500  0.02
Si  0.000  0.000  0.000  0.01

The following is a GGA-PBE calculation of an optimized crystal structure of Rb3Tl2Hg3, from Alexandria.

Calculated values
**Calculated density**: 6.61 g/cm³
**M_tot**: 0.0 μB/f.u.
**Energy of formation**: -0.177 eV per atom
**Symmetry**: Cmcm

Cell: 5.424 7.238 17.473 Å, 90.00 90.00 112.01°
Fractional coordinates of all 16 atoms:
Rb  0.623  0.245  0.250
Rb  0.922  0.844  0.110
Rb  0.377  0.755  0.750
Rb  0.078  0.156  0.610
Rb  0.922  0.844  0.390
Rb  0.078  0.156  0.890
Hg  0.390  0.781  0.964
Hg  0.320  0.641  0.250
Hg  0.680  0.359  0.750
Hg  0.610  0.219  0.464
Hg  0.610  0.219  0.036
Hg  0.390  0.781  0.536
Tl  0.784  0.567  0.916
Tl  0.784  0.567  0.584
Tl  0.216  0.433  0.084
Tl  0.216  0.433  0.416

The following is a GGA-PBE calculation of an optimized crystal structure of Sb2TeRhN, from Alexandria.

Calculated values
**Calculated density**: 8.14 g/cm³
**Formation energy (no corrections)**: 0.664 eV/atom
**M_tot**: 0.0 μB/f.u.
**Symmetry**: P4/mmm

Cell: 4.678 4.678 4.552 Å, 90.00 90.00 90.00°
Fractional coordinates of all 5 atoms:
N  0.000  0.000  0.000
Rh  0.500  0.500  0.500
Sb  0.500  0.000  0.000
Sb  0.000  0.500  0.000
Te  0.000  0.000  0.500

The following is a GGA-PBE calculation of an optimized crystal structure of HfFe2Rh, from Alexandria.

Calculated values
**Calculated density**: 10.31 g/cm³
**M_tot**: 5.1 μB/f.u.
**Energy of formation**: 0.094 eV per atom
**Symmetry**: I-42d

Cell: 3.638 3.638 9.912 Å, 79.43 79.43 90.00°
Site moments in Bohr magnetons follow the coordinates.
Fractional coordinates of all 8 atoms:
Fe  0.375  0.386  0.750  2.57
Fe  0.136  0.625  0.250  2.56
Fe  0.614  0.125  0.250  2.56
Fe  0.875  0.864  0.750  2.57
Hf  0.750  0.250  0.500  -0.21
Hf  0.000  0.000  0.000  -0.21
Rh  0.250  0.750  0.500  0.16
Rh  0.500  0.500  0.000  0.16

The following is a GGA-PBE calculation of an optimized crystal structure of TaCIO2, from Alexandria.

Calculated values
**Calculated density**: 7.75 g/cm³
**Formation energy (no corrections)**: -0.520 eV/atom
**M_tot**: 0.0 μB/f.u.
**Symmetry**: P4/mmm

Cell: 3.881 5.007 3.881 Å, 90.00 90.00 90.00°
Fractional coordinates of all 5 atoms:
I  0.500  0.500  0.500
C  0.000  0.500  0.000
O  0.500  0.000  0.000
O  0.000  0.000  0.500
Ta  0.000  0.000  0.000

The following is a GGA-PBE calculation of an optimized crystal structure of AlCoW2, from Alexandria.

Calculated values
**Calculated density**: 13.32 g/cm³
**M_tot**: 0.0 μB/f.u.
**Energy of formation**: -0.079 eV per atom
**Symmetry**: P4mm

Cell: 2.739 2.739 7.535 Å, 90.00 90.00 90.00°
Fractional coordinates of all 4 atoms:
W  0.000  0.000  0.965
W  0.500  0.500  0.263
Al  0.000  0.000  0.534
Co  0.500  0.500  0.739

The following is a GGA-PBE calculation of an optimized crystal structure of Zr3CdH, from Alexandria.

Calculated values
**Calculated total energy**: -61.73 eV per cell
**Calculated density**: 6.96 g/cm³
**M_tot**: 0.0 μB/f.u.
**Symmetry**: Pmma

Cell: 9.865 6.287 9.351 Å, 90.00 18.57 90.00°
Fractional coordinates of all 10 atoms:
Cd  0.000  0.750  0.509
Cd  0.000  0.250  0.491
Zr  0.000  0.750  0.994
Zr  0.500  0.499  0.250
Zr  0.500  0.999  0.750
Zr  0.500  0.501  0.750
Zr  0.500  0.001  0.250
Zr  0.000  0.250  0.006
H  0.000  0.750  0.220
H  0.000  0.250  0.780

The following is a GGA-PBE calculation of an optimized crystal structure of ErVNi4, from Alexandria.

Calculated values
**Calculated density**: 9.14 g/cm³
**M_tot**: 2.4 μB/f.u.
**Energy of formation**: -0.203 eV per atom
**Symmetry**: F-43m

Cell: 4.883 4.883 4.883 Å, 60.00 60.00 60.00°
Site moments in Bohr magnetons follow the coordinates.
Fractional coordinates of all 6 atoms:
Ni  0.624  0.128  0.624  -0.06
Ni  0.624  0.624  0.624  -0.06
Ni  0.624  0.624  0.128  -0.06
Ni  0.128  0.624  0.624  -0.06
V  0.250  0.250  0.250  2.04
Er  0.000  0.000  0.000  0.25

The following is a GGA-PBE calculation of an optimized crystal structure of Nb2SBr, from Alexandria.

Calculated values
**Calculated density**: 5.36 g/cm³
**Formation energy (no corrections)**: 0.297 eV/atom
**M_tot**: 1.6 μB/f.u.
**Symmetry**: I-42d

Cell: 6.043 6.043 6.620 Å, 62.84 62.84 90.00°
Site moments in Bohr magnetons follow the coordinates.
Fractional coordinates of all 8 atoms:
Br  0.000  0.000  0.000  0.01
Br  0.750  0.250  0.500  0.01
Nb  0.375  0.408  0.750  0.68
Nb  0.158  0.625  0.250  0.64
Nb  0.875  0.842  0.750  0.66
Nb  0.592  0.125  0.250  0.64
S  0.500  0.500  0.000  -0.02
S  0.250  0.750  0.500  -0.02

The following is a GGA-PBE calculation of an optimized crystal structure of LaThCu2Si2, from Alexandria.

Calculated values
**Calculated density**: 7.33 g/cm³
**Formation energy (no corrections)**: -0.629 eV/atom
**M_tot**: 0.0 μB/f.u.
**Symmetry**: P-3m1

Cell: 4.179 4.179 8.305 Å, 90.00 90.00 120.00°
Fractional coordinates of all 6 atoms:
Si  0.667  0.333  0.742
Si  0.333  0.667  0.258
Cu  0.667  0.333  0.261
Cu  0.333  0.667  0.739
La  0.000  0.000  0.000
Th  0.000  0.000  0.500

The following is a GGA-PBE calculation of an optimized crystal structure of Na3SrO, from Alexandria.

Calculated values
**Calculated density**: 0.89 g/cm³
**Formation energy (no corrections)**: 1.020 eV/atom
**M_tot**: 0.9 μB/f.u.
**Symmetry**: Pm-3m

Cell: 6.855 6.855 6.855 Å, 90.00 90.00 90.00°
Site moments in Bohr magnetons follow the coordinates.
Fractional coordinates of all 5 atoms:
Sr  0.000  0.000  0.000  0.08
Na  0.500  0.000  0.000  0.04
Na  0.000  0.000  0.500  0.02
Na  0.000  0.500  0.000  0.03
O  0.500  0.500  0.500  0.01

The following is a GGA-PBE calculation of an optimized crystal structure of TmPaAgGe, from Alexandria.

Calculated values
**Calculated density**: 10.52 g/cm³
**M_tot**: 1.4 μB/f.u.
**Energy of formation**: -0.160 eV per atom
**Symmetry**: F-43m

Cell: 5.060 5.060 5.060 Å, 60.00 60.00 60.00°
Site moments in Bohr magnetons follow the coordinates.
Fractional coordinates of all 4 atoms:
Ge  0.250  0.250  0.250  0.00
Pa  0.000  0.000  0.000  0.86
Tm  0.500  0.500  0.500  0.23
Ag  0.750  0.750  0.750  0.02

The following is a GGA-PBE calculation of an optimized crystal structure of MgInSe4, from Alexandria.

Calculated values
**Calculated density**: 5.26 g/cm³
**Formation energy (no corrections)**: 0.190 eV/atom
**M_tot**: 0.0 μB/f.u.
**Symmetry**: F-43m

Cell: 5.877 5.877 5.877 Å, 60.00 60.00 60.00°
Fractional coordinates of all 6 atoms:
Se  0.374  0.374  0.374
Se  0.374  0.374  0.878
Se  0.374  0.878  0.374
Se  0.878  0.374  0.374
Mg  0.000  0.000  0.000
In  0.750  0.750  0.750

The following is a GGA-PBE calculation of an optimized crystal structure of CsK4Au4, from Alexandria.

Calculated values
**Calculated density**: 4.69 g/cm³
**M_tot**: 0.0 μB/f.u.
**Energy of formation**: -0.266 eV per atom
**Symmetry**: P4_2/n

Cell: 6.618 10.739 10.739 Å, 90.00 90.00 90.00°
Fractional coordinates of all 18 atoms:
Cs  0.500  0.500  0.500
Cs  0.000  0.000  0.000
K  0.112  0.159  0.604
K  0.612  0.104  0.341
K  0.888  0.396  0.159
K  0.388  0.659  0.104
K  0.888  0.604  0.841
K  0.112  0.841  0.396
K  0.612  0.896  0.659
K  0.388  0.341  0.896
Au  0.118  0.848  0.706
Au  0.118  0.152  0.294
Au  0.382  0.652  0.794
Au  0.882  0.294  0.848
Au  0.882  0.706  0.152
Au  0.618  0.206  0.652
Au  0.382  0.348  0.206
Au  0.618  0.794  0.348

The following is a GGA-PBE calculation of an optimized crystal structure of Mg6TiSiO8, from Alexandria.

Calculated values
**Calculated density**: 3.57 g/cm³
**Formation energy (no corrections)**: -2.277 eV/atom
**M_tot**: 1.9 μB/f.u.
**Symmetry**: P4/mmm

Cell: 4.316 4.316 8.746 Å, 90.00 90.00 90.00°
Site moments in Bohr magnetons follow the coordinates.
Fractional coordinates of all 16 atoms:
O  0.000  0.000  0.257  0.01
O  0.000  0.500  0.000  0.00
O  0.500  0.000  0.000  0.00
O  0.500  0.500  0.737  0.00
O  0.500  0.500  0.263  0.00
O  0.000  0.500  0.500  0.00
O  0.500  0.000  0.500  0.00
O  0.000  0.000  0.743  0.01
Mg  0.500  0.000  0.744  0.00
Mg  0.500  0.500  0.500  0.00
Mg  0.000  0.500  0.744  0.00
Mg  0.000  0.000  0.500  0.00
Mg  0.000  0.500  0.256  0.00
Mg  0.500  0.000  0.256  0.00
Si  0.500  0.500  0.000  -0.01
Ti  0.000  0.000  0.000  1.56

The following is a GGA-PBE calculation of an optimized crystal structure of Ba2Cd3Ag2, from Alexandria.

Calculated values
**Calculated density**: 6.63 g/cm³
**M_tot**: 0.0 μB/f.u.
**Energy of formation**: -0.269 eV per atom
**Symmetry**: C2/m

Cell: 4.746 6.359 8.256 Å, 114.28 90.00 111.91°
Fractional coordinates of all 7 atoms:
Ba  0.863  0.725  0.237
Ba  0.137  0.275  0.763
Cd  0.363  0.726  0.570
Cd  0.500  0.000  0.000
Cd  0.637  0.274  0.430
Ag  0.864  0.727  0.796
Ag  0.136  0.273  0.204

The following is a GGA-PBE calculation of an optimized crystal structure of Sr4LiY2Ru2O12, from Alexandria.

Calculated values
**Calculated density**: 5.34 g/cm³
**Formation energy (no corrections)**: -2.343 eV/atom
**M_tot**: 5.0 μB/f.u.
**Symmetry**: P1

Cell: 5.820 5.939 8.369 Å, 90.68 92.70 89.97°
Site moments in Bohr magnetons follow the coordinates.
Fractional coordinates of all 21 atoms:
O  0.293  0.303  0.537  0.08
O  0.939  0.485  0.733  0.11
O  0.745  0.705  0.459  0.10
O  0.302  0.280  0.957  0.11
O  0.218  0.774  0.536  0.10
O  0.671  0.709  0.041  0.07
O  0.579  0.974  0.775  0.07
O  0.079  0.517  0.266  0.10
O  0.418  0.021  0.238  0.14
O  0.820  0.227  0.461  0.09
O  0.173  0.825  0.963  0.10
O  0.767  0.181  0.049  0.06
Li  0.847  0.914  0.935  0.00
Sr  0.999  0.952  0.265  0.01
Sr  0.063  0.071  0.711  0.01
Sr  0.490  0.546  0.755  0.01
Sr  0.515  0.456  0.257  0.01
Y  0.991  0.481  0.005  0.00
Y  0.524  0.000  0.503  0.00
Ru  0.014  0.505  0.499  1.74
Ru  0.470  0.000  0.008  1.64

The following is a GGA-PBE calculation of an optimized crystal structure of MoS2Cl5, from Alexandria.

Calculated values
**Calculated density**: 2.03 g/cm³
**Formation energy (no corrections)**: -0.412 eV/atom
**M_tot**: 3.0 μB/f.u.
**Symmetry**: P1

Cell: 4.843 7.948 7.962 Å, 79.56 71.61 72.15°
Site moments in Bohr magnetons follow the coordinates.
Fractional coordinates of all 8 atoms:
Cl  0.809  0.309  0.999  0.05
Cl  0.108  0.029  0.690  0.04
Cl  0.461  0.002  0.001  -0.01
Cl  0.114  0.695  0.003  0.05
Cl  0.814  0.973  0.312  0.04
S  0.814  0.574  0.460  0.47
S  0.142  0.415  0.532  0.47
Mo  0.961  0.002  0.002  1.09